Entry 1:
BaPrTe2 | Alexandria via LeMat-Bulk | GGA-PBE | relaxed; crystal system = tetragonal; raw formation energy = -1.43 eV per atom; energy relative to the lowest polymorph listed for this composition = 156 meV/atom; space-group type = P4/mmm, No. 123
1.0
4.041 0.000 0.000
0.000 4.041 0.000
0.000 0.000 8.236
Pr Te Ba
1 2 1
Direct
0.500 0.500 0.000 Pr
0.000 0.000 0.772 Te
0.000 0.000 0.228 Te
0.500 0.500 0.500 Ba

---

Entry 2:
Ba5PrTe6 | Alexandria via LeMat-Bulk | GGA-PBE | relaxed; crystal system = monoclinic; raw formation energy = -1.71 eV per atom; space-group type = C2/m, No. 12
1.0
-7.801 3.381 -0.059
-2.748 0.965 7.997
1.552 7.238 4.189
Pr Te Ba
1 6 5
Direct
0.000 0.000 0.000 Pr
0.762 0.079 0.316 Te
0.238 0.605 0.316 Te
0.242 0.234 0.000 Te
0.758 0.766 0.000 Te
0.762 0.395 0.684 Te
0.238 0.921 0.684 Te
0.500 0.171 0.658 Ba
0.000 0.334 0.331 Ba
0.500 0.500 0.000 Ba
0.000 0.666 0.669 Ba
0.500 0.829 0.342 Ba

---

Entry 3:
BaPr5Te6 | Alexandria via LeMat-Bulk | GGA-PBE | relaxed; crystal system = monoclinic; raw formation energy = -1.47 eV per atom; space-group type = C2/m, No. 12
1.0
-4.160 6.185 2.905
-7.500 -0.440 -2.552
-5.417 -3.944 4.265
Ba Pr Te
1 5 6
Direct
0.000 0.000 0.000 Ba
0.500 0.157 0.685 Pr
0.000 0.333 0.334 Pr
0.500 0.500 0.000 Pr
0.000 0.667 0.666 Pr
0.500 0.843 0.315 Pr
0.740 0.087 0.346 Te
0.260 0.567 0.346 Te
0.250 0.263 0.000 Te
0.750 0.737 0.000 Te
0.740 0.433 0.654 Te
0.260 0.913 0.654 Te

---

Entry 4:
BaPr4Te5 | Alexandria via LeMat-Bulk | GGA-PBE | relaxed; crystal system = orthorhombic; raw formation energy = -1.48 eV per atom; space-group type = Immm, No. 71
1.0
4.527 0.000 -0.873
-0.336 6.272 -1.741
0.010 0.006 12.221
Ba Pr Te
1 4 5
Direct
0.000 0.000 0.000 Ba
0.398 0.398 0.796 Pr
0.793 0.793 0.587 Pr
0.207 0.207 0.413 Pr
0.602 0.602 0.204 Pr
0.609 0.109 0.217 Te
0.802 0.302 0.604 Te
0.198 0.698 0.396 Te
0.000 0.500 0.000 Te
0.391 0.891 0.783 Te

---

Entry 5:
BaPrTe2 | Alexandria via LeMat-Bulk | GGA-PBE | relaxed; crystal system = trigonal; raw formation energy = -1.54 eV per atom; energy relative to the lowest polymorph listed for this composition = 50 meV/atom; space-group type = R3m, No. 160
1.0
4.598 0.000 0.000
2.299 3.982 0.000
2.299 1.327 8.286
Ba Pr Te
1 1 2
Direct
0.497 0.497 0.510 Ba
0.669 0.669 0.992 Pr
0.075 0.075 0.774 Te
0.259 0.259 0.224 Te

---

Entry 6:
Ba4PrTe5 | Alexandria via LeMat-Bulk | GGA-PBE | relaxed; crystal system = tetragonal; raw formation energy = -1.67 eV per atom; space-group type = I4/mmm, No. 139
1.0
4.851 0.000 -0.684
-0.096 4.850 -0.684
0.017 0.018 17.676
Ba Pr Te
4 1 5
Direct
0.402 0.402 0.804 Ba
0.802 0.802 0.603 Ba
0.198 0.198 0.397 Ba
0.598 0.598 0.196 Ba
0.000 0.000 0.000 Pr
0.094 0.094 0.188 Te
0.500 0.500 0.000 Te
0.906 0.906 0.812 Te
0.301 0.301 0.601 Te
0.699 0.699 0.399 Te

---

Entry 7:
BaPrTe2 | Alexandria via LeMat-Bulk | GGA-PBE | relaxed; crystal system = hexagonal; raw formation energy = -1.57 eV per atom; energy relative to the lowest polymorph listed for this composition = 17 meV/atom; space-group type = P6_3/mmc, No. 194
1.0
4.639 0.000 0.000
-2.320 4.018 0.000
0.000 0.000 16.161
Ba Pr Te
2 2 4
Direct
0.667 0.333 0.250 Ba
0.333 0.667 0.750 Ba
0.000 0.000 0.500 Pr
0.000 0.000 0.000 Pr
0.333 0.667 0.387 Te
0.667 0.333 0.887 Te
0.667 0.333 0.613 Te
0.333 0.667 0.113 Te

---

Entry 8:
Ba3PrTe4 | Alexandria via LeMat-Bulk | GGA-PBE | relaxed; crystal system = orthorhombic; raw formation energy = -1.67 eV per atom; space-group type = Cmmm, No. 65
1.0
-3.343 0.015 3.499
-4.734 -5.351 -4.499
5.196 -4.413 4.982
Ba Pr Te
3 1 4
Direct
0.000 0.000 0.500 Ba
0.500 0.500 0.500 Ba
0.000 0.500 0.000 Ba
0.500 0.000 0.000 Pr
0.000 0.231 0.231 Te
0.500 0.761 0.239 Te
0.000 0.769 0.769 Te
0.500 0.239 0.761 Te